Record 1
Li2NiRu: single point on PBEsol structure, SCAN.

Lattice parameters (Å, degrees): 4.349 4.349 2.432 90.00 90.00 90.00
Space group P4/mmm (No. 123)
Asymmetric unit:
Li1 0.000 0.500 0.000 [2 per cell]
Ni1 0.000 0.000 0.500 [1 per cell]
Ru1 0.500 0.500 0.500 [1 per cell]

## Properties
The total moment is 1.0 μB per formula unit. The energy above the most stable polymorph in this dataset is 0.313 eV/atom. For the calculated formation energy, the calculation gives 1.4 eV/f.u. The value obtained for the raw total energy is -54.4 eV per formula unit.

Record 2
ThAu3: single point on PBEsol structure, SCAN.

Lattice parameters (Å, degrees): 6.936 6.936 6.936 90.00 90.00 90.00
Space group Fm-3m (No. 225)
Asymmetric unit:
Th1 0.000 0.000 0.000 [4 per cell]
Au1 0.000 0.000 0.500 [4 per cell]
Au2 0.250 0.250 0.250 [8 per cell]

## Properties
The total moment is 0.0 μB per formula unit. For the calculated formation energy, the calculation gives -2.9 eV/f.u. The value obtained for the raw total energy is -306.3 eV per formula unit.

Record 3
Sc2TaAu: single point on PBEsol structure, SCAN.

Lattice parameters (Å, degrees): 3.015 3.015 8.664 90.00 90.00 90.00
Space group P4mm (No. 99)
Asymmetric unit:
Sc1 0.000 0.000 0.000 [1 per cell]
Sc2 0.500 0.500 0.306 [1 per cell]
Ta1 0.000 0.000 0.546 [1 per cell]
Au1 0.500 0.500 0.771 [1 per cell]

## Properties
The total moment is 0.0 μB per formula unit. For the calculated formation energy, the calculation gives -0.9 eV/f.u. The value obtained for the raw total energy is -165.1 eV per formula unit.

Record 4
BaY3Ge: single point on PBEsol structure, SCAN.

Lattice parameters (Å, degrees): 5.513 5.513 5.513 90.00 90.00 90.00
Space group Pm-3m (No. 221)
Asymmetric unit:
Ba1 0.000 0.000 0.000 [1 per cell]
Y1 0.000 0.000 0.500 [3 per cell]
Ge1 0.500 0.500 0.500 [1 per cell]

## Properties
The total moment is 0.2 μB per formula unit. For the calculated formation energy, the calculation gives 6.1 eV/f.u. The value obtained for the raw total energy is -136.1 eV per formula unit.

Record 5
RbP2CS: single point on PBEsol structure, SCAN.

Lattice parameters (Å, degrees): 7.191 7.191 6.184 90.00 90.00 90.00
Space group P4/mmm (No. 123)
Asymmetric unit:
Rb1 0.000 0.000 0.000 [1 per cell]
P1 0.000 0.500 0.000 [2 per cell]
C1 0.500 0.500 0.500 [1 per cell]
S1 0.000 0.000 0.500 [1 per cell]

## Properties
For the uncorrected formation energy, the calculation gives 2.922 eV per atom. The total moment is 9.4 μB per formula unit. The value obtained for the raw total energy is -46.7 eV per formula unit.

Record 6
BeHg2O: single point on PBEsol structure, SCAN.

Lattice parameters (Å, degrees): 6.194 6.194 6.194 90.00 90.00 90.00
Space group Fm-3m (No. 225)
Asymmetric unit:
Be1 0.000 0.000 0.000 [4 per cell]
Hg1 0.250 0.250 0.250 [8 per cell]
O1 0.000 0.000 0.500 [4 per cell]

## Properties
For the uncorrected formation energy, the calculation gives 0.526 eV per atom. The total moment is 0.9 μB per formula unit. The value obtained for the raw total energy is -144.8 eV per formula unit.

Repeat the first record exactly.
Li2NiRu: single point on PBEsol structure, SCAN.

Lattice parameters (Å, degrees): 4.349 4.349 2.432 90.00 90.00 90.00
Space group P4/mmm (No. 123)
Asymmetric unit:
Li1 0.000 0.500 0.000 [2 per cell]
Ni1 0.000 0.000 0.500 [1 per cell]
Ru1 0.500 0.500 0.500 [1 per cell]

## Properties
The total moment is 1.0 μB per formula unit. The energy above the most stable polymorph in this dataset is 0.313 eV/atom. For the calculated formation energy, the calculation gives 1.4 eV/f.u. The value obtained for the raw total energy is -54.4 eV per formula unit.